Material: HfHOs2
Method: DFT, PBE-GGA
State: relaxed

Properties
E_tot ... -70.257 eV for the cell shown
Size of the total moment ... 0.00 μB/f.u.

Unit cell a=5.4804 b=5.4804 c=5.3508 alpha=59.20 beta=59.20 gamma=90.00
Element x y z (fractional)
Hf 0.7500 0.2500 0.5000
Os 0.8750 0.6984 0.7500
Os 0.3016 0.6250 0.2500
Hf 0.0000 0.0000 0.0000
Os 0.4484 0.1250 0.2500
H 0.5000 0.5000 0.0000
Os 0.3750 0.5516 0.7500
H 0.2500 0.7500 0.5000

=====

Material: Mn3BeNi
Method: DFT, PBE-GGA
State: relaxed

Properties
Energy of formation ... 723 meV/atom
E_tot ... -33.400 eV for the cell shown
Size of the total moment ... 10.17 μB/f.u.

Unit cell a=4.0638 b=4.0638 c=4.0638 alpha=90.00 beta=90.00 gamma=90.00
Each line ends with the local moment (μB).
Element x y z (fractional)
Mn 0.5000 0.0000 0.0000  2.99
Mn 0.0000 0.0000 0.5000  3.26
Be 0.0000 0.0000 0.0000  -0.18
Mn 0.0000 0.5000 0.0000  3.11
Ni 0.5000 0.5000 0.5000  0.77

=====

Material: Ag5Pb
Method: DFT, PBE-GGA
State: relaxed

Properties
Energy of formation ... 87 meV/atom
E_tot ... -17.442 eV for the cell shown
Size of the total moment ... 0.00 μB/f.u.

Unit cell a=7.6636 b=7.6636 c=4.7719 alpha=90.00 beta=90.00 gamma=154.71
Element x y z (fractional)
Ag 0.3332 0.6668 0.0000
Ag 0.5553 0.4447 0.5000
Ag 0.0150 0.9850 0.0000
Pb 0.8819 0.1181 0.5000
Ag 0.2084 0.7916 0.5000
Ag 0.6729 0.3271 0.0000

=====

Material: Tb3BiB2Rh9
Method: DFT, PBE-GGA
State: relaxed

Properties
Energy of formation ... -562 meV/atom
E_tot ... -105.714 eV for the cell shown
Size of the total moment ... 0.00 μB/f.u.

Unit cell a=5.8682 b=5.8682 c=9.0637 alpha=90.00 beta=90.00 gamma=120.00
Element x y z (fractional)
Rh 0.5000 0.0000 0.0000
Tb 0.6667 0.3333 0.2828
Rh 0.3233 0.1617 0.7392
Rh 0.0000 0.5000 0.0000
Rh 0.5000 0.5000 0.0000
B 0.3333 0.6667 0.1432
Tb 0.0000 0.0000 0.0000
Rh 0.8383 0.6767 0.7392
B 0.6667 0.3333 0.8568
Rh 0.1617 0.3233 0.2608
Rh 0.8383 0.1617 0.7392
Tb 0.3333 0.6667 0.7172
Rh 0.6767 0.8383 0.2608
Bi 0.0000 0.0000 0.5000
Rh 0.1617 0.8383 0.2608

=====

> Which of these has the highest size of the total moment?

Mn3BeNi

=====

> The lowest E_tot belongs to which entry?

Tb3BiB2Rh9